LiAlFeO4 | GGA+U | optimized geometry

Calculated values
DFT total energy = -44.838 eV/f.u.
Crystal system = monoclinic

Cell: 2.9056 10.1196 9.4367 Å, 90.00 91.71 90.00°
Sites, in units of the cell vectors:
Li (0.2001, 0.1251, 0.4232)
Li (0.2001, 0.3749, 0.9232)
Li (0.7999, 0.6251, 0.0768)
Li (0.7999, 0.8749, 0.5768)
Al (0.2615, 0.6268, 0.4968)
Al (0.2615, 0.8732, 0.9968)
Al (0.7385, 0.1268, 0.0032)
Al (0.7385, 0.3732, 0.5032)
Fe (0.2547, 0.1513, 0.7264)
Fe (0.2547, 0.3487, 0.2264)
Fe (0.7453, 0.6513, 0.7736)
Fe (0.7453, 0.8487, 0.2736)
O (0.2136, 0.5623, 0.8702)
O (0.2136, 0.9377, 0.3702)
O (0.2391, 0.0372, 0.8986)
O (0.2391, 0.4628, 0.3986)
O (0.2427, 0.2115, 0.0863)
O (0.2427, 0.2885, 0.5863)
O (0.2897, 0.7437, 0.6582)
O (0.2897, 0.7563, 0.1582)
O (0.7103, 0.2437, 0.8418)
O (0.7103, 0.2563, 0.3418)
O (0.7573, 0.7115, 0.4137)
O (0.7573, 0.7885, 0.9137)
O (0.7609, 0.5372, 0.6014)
O (0.7609, 0.9628, 0.1014)
O (0.7864, 0.0623, 0.6298)
O (0.7864, 0.4377, 0.1298)